1.
14
Lattice="6.9103 0.0000 0.0000 0.0000 6.6349 0.0000 -2.8269 0.0000 8.6800" Properties=species:S:1:pos:R:3 comment="Y4NiBi2 PBE-GGA relaxed" e_tot_ev_per_atom=-6.12 pbc="T T T"
Y -0.6666 0.0192 2.4015
Y -0.6666 3.2982 2.4015
Y 2.3740 4.9762 0.5674
Y 1.2020 4.9762 5.5392
Y 2.8814 1.6587 3.1408
Y 1.7094 1.6587 8.1126
Y 4.7501 3.3367 6.2785
Y 4.7501 6.6157 6.2785
Ni 1.3146 4.9762 2.9037
Ni 2.7689 1.6587 5.7763
Bi 1.3182 1.6587 0.3436
Bi 0.2535 1.6587 5.0332
Bi 3.8299 4.9762 3.6468
Bi 2.7652 4.9762 8.3364



2.
5
Lattice="-3.0346 3.0346 4.8984 3.0346 -3.0346 4.8984 3.0346 3.0346 -4.8984" Properties=species:S:1:pos:R:3 comment="LaPm2Y2 PBE-GGA relaxed" e_tot_ev_per_atom=-4.99 pbc="T T T"
La 0.0000 0.0000 0.0000
Pm 3.0346 0.0000 2.4492
Pm 0.0000 3.0346 2.4492
Y 0.0000 0.0000 3.4320
Y 0.0000 0.0000 6.3649



3.
5
Lattice="5.2165 0.0000 0.0000 0.0000 5.2165 0.0000 0.0000 0.0000 5.7793" Properties=species:S:1:pos:R:3 comment="KTaInAg2 PBE-GGA relaxed" e_tot_ev_per_atom=-2.76 pbc="T T T"
K 0.0000 0.0000 0.0000
Ta 2.6083 2.6083 0.0000
In 0.0000 0.0000 2.8897
Ag 0.0000 2.6083 2.8897
Ag 2.6083 0.0000 2.8897



4.
4
Lattice="3.9311 0.0000 0.0000 0.0000 3.9311 0.0000 0.0000 0.0000 7.8586" Properties=species:S:1:pos:R:3 comment="TlCdBiPb PBE-GGA relaxed" e_tot_ev_per_atom=-2.67 pbc="T T T"
Tl 0.0000 0.0000 0.0000
Cd 0.0000 0.0000 3.8506
Bi 1.9655 1.9655 2.2112
Pb 1.9655 1.9655 5.5533